The following is a DFT calculation (PBE-GGA) of VFeCuPt after structural relaxation.

V in Å³ per atom: 13.20
Crystal system: cubic

Unit cell a=5.9549 b=5.9549 c=5.9549 alpha=90.00 beta=90.00 gamma=90.00
Space group F-43m (No. 216)
Asymmetric unit:
1 V 0.0000 0.0000 0.0000 [4 per cell]
2 Fe 0.2500 0.2500 0.7500 [4 per cell]
3 Cu 0.0000 0.0000 0.5000 [4 per cell]
4 Pt 0.2500 0.2500 0.2500 [4 per cell]

=====

The following is a DFT calculation (PBE-GGA) of Ce2TlCu after structural relaxation.

V in Å³ per atom: 25.20
Crystal system: tetragonal

Unit cell a=3.7729 b=3.7729 c=7.0803 alpha=90.00 beta=90.00 gamma=90.00
Space group P4/mmm (No. 123)
Asymmetric unit:
1 Ce 0.0000 0.0000 0.1995 [2 per cell]
2 Tl 0.5000 0.5000 0.5000 [1 per cell]
3 Cu 0.5000 0.5000 0.0000 [1 per cell]

=====

Magnetization in μB per formula unit, matching the order above: 1.1, 1.7
Formation energy from the elements in eV/atom, matching the order above: -0.1317, -0.1178